# CrFeAg2

A relaxed CrFeAg2 crystal (PBE-GGA, Alexandria).

Energy = -5.366 eV/atom

Unit cell a=3.9530 b=4.0416 c=4.0416 alpha=90.00 beta=90.00 gamma=90.00
Site moments in Bohr magnetons follow the coordinates.
Fractional coordinates of all 4 atoms:
1 Fe 0.5000 0.0000 0.5000  3.02
2 Cr 0.5000 0.5000 0.0000  3.44
3 Ag 0.0000 0.5000 0.5000  0.07
4 Ag 0.0000 0.0000 0.0000  0.07